Computed, not measured: Y3HPb after structural relaxation at the PBE-GGA level of DFT.

Geometry as extended XYZ:
```
10
Lattice="4.337 2.504 3.762 -4.337 2.504 3.762 0.000 -5.008 3.762" Properties=species:S:1:pos:R:3 pbc="T T T"
Y -1.039 -1.799 2.822
Y -1.039 1.799 2.822
Y 2.078 0.000 2.822
Y -2.078 0.000 8.465
Y 1.039 -1.799 8.465
Y 1.039 1.799 8.465
H 0.000 0.000 2.822
H 0.000 0.000 8.465
Pb 0.000 0.000 0.000
Pb 0.000 0.000 5.643
```

Summary:
polymorph energy (0 for the lowest one): 0.178 eV/atom
E_tot: -5.573 eV per atom
magnetic moment: 0.000 μB per atom